Here is a relaxed Tc3GeH crystal from Alexandria via LeMat-Bulk. Energies are from PBE.

Summary:
SG ... No. 221
Theoretical density ... 10.02 g/cm³
Excess energy over the best structure of this formula in the dataset ... 0 meV per atom

abc: 3.935 3.935 3.935
angles: 90.00 90.00 90.00
Atoms (fractional coordinates):
Tc1 0.000 0.000 0.500
Tc2 0.000 0.500 0.000
Tc3 0.500 0.000 0.000
Ge1 0.500 0.500 0.500
H1 0.000 0.000 0.000

***

Here is a relaxed CeYZrSc crystal from Alexandria via LeMat-Bulk. Energies are from PBE.

Summary:
SG ... No. 216
Theoretical density ... 5.63 g/cm³
ΔH_f (0 K) ... 0.179 eV per atom

abc: 5.340 5.340 5.340
angles: 60.00 60.00 60.00
Atoms (fractional coordinates):
Ce1 0.000 0.000 0.000
Y1 0.500 0.500 0.500
Zr1 0.750 0.750 0.750
Sc1 0.250 0.250 0.250

***

Here is a relaxed Si2PPd8 crystal from Alexandria via LeMat-Bulk. Energies are from PBE.

Summary:
SG ... No. 12
Theoretical density ... 9.65 g/cm³
Energy relative to the elements, uncorrected ... -54 kJ per mole of atoms

abc: 7.658 7.658 5.621
angles: 106.49 106.49 30.84
Atoms (fractional coordinates):
Si1 0.181 0.181 0.205
Si2 0.819 0.819 0.795
P1 0.500 0.500 0.500
Pd1 0.030 0.030 0.286
Pd2 0.208 0.208 0.815
Pd3 0.336 0.336 0.531
Pd4 0.408 0.408 0.060
Pd5 0.592 0.592 0.940
Pd6 0.664 0.664 0.469
Pd7 0.792 0.792 0.185
Pd8 0.970 0.970 0.714